This record from Alexandria describes CrGe2WO8 after structural relaxation. The functional is PBE with a Hubbard U.

Values from the calculation:
Final energy in eV per atom: -6.907

Unit cell a=5.600 b=5.600 c=5.600 alpha=108.56 beta=108.56 gamma=111.32
Fractional coordinates of all 12 atoms:
Cr 0.000 0.000 0.000
Ge 0.750 0.250 0.500
Ge 0.500 0.500 0.000
W 0.250 0.750 0.500
O 0.357 0.042 0.315
O 0.309 0.500 0.192
O 0.309 0.117 0.808
O 0.727 0.042 0.685
O 0.883 0.691 0.192
O 0.958 0.273 0.315
O 0.958 0.643 0.685
O 0.500 0.691 0.808